1.
This record from the Alexandria database describes a relaxed structure of ScTa2Si2. The functional is PBE.

Volume: 164.3 Å³/cell
Energy relative to the elements, uncorrected: -3.11 eV/f.u.
DOS(E_F): 2.1 states/eV/f.u.

Cell: 6.894 6.894 3.457 Å, 90.00 90.00 90.00°
Sites, in units of the cell vectors:
Sc 0.000 0.000 0.000
Sc 0.500 0.500 0.000
Ta 0.168 0.332 0.500
Ta 0.332 0.832 0.500
Ta 0.668 0.168 0.500
Ta 0.832 0.668 0.500
Si 0.126 0.626 0.000
Si 0.374 0.126 0.000
Si 0.626 0.874 0.000
Si 0.874 0.374 0.000



2.
This record from the Alexandria database describes a relaxed structure of ScTaSi2. The functional is PBE.

ΔE to the lowest computed polymorph: 0.312 eV/atom
Volume: 66.9 Å³/cell
Energy relative to the elements, uncorrected: -1.37 eV/f.u.
DOS(E_F): 2.5 states/eV/f.u.

Cell: 2.975 2.975 7.743 Å, 90.00 90.00 102.65°
Sites, in units of the cell vectors:
Sc 0.000 0.000 0.000
Ta 0.000 0.000 0.500
Si 0.500 0.500 0.259
Si 0.500 0.500 0.741



3.
This record from the Alexandria database describes a relaxed structure of ScTaSi2. The functional is PBE.

ΔE to the lowest computed polymorph: 0.011 eV/atom
Volume: 260.3 Å³/cell
Energy relative to the elements, uncorrected: -2.57 eV/f.u.
DOS(E_F): 1.5 states/eV/f.u.

Cell: 5.180 5.195 10.021 Å, 90.00 105.10 90.00°
Sites, in units of the cell vectors:
Sc 0.200 0.126 0.147
Sc 0.200 0.874 0.647
Sc 0.800 0.126 0.353
Sc 0.800 0.874 0.853
Ta 0.301 0.372 0.856
Ta 0.301 0.628 0.356
Ta 0.699 0.372 0.644
Ta 0.699 0.628 0.144
Si 0.167 0.374 0.583
Si 0.167 0.626 0.083
Si 0.335 0.130 0.423
Si 0.335 0.870 0.923
Si 0.665 0.130 0.077
Si 0.665 0.870 0.577
Si 0.833 0.374 0.917
Si 0.833 0.626 0.417



4.
This record from the Alexandria database describes a relaxed structure of ScTaSi2. The functional is PBE.

ΔE to the lowest computed polymorph: 0.333 eV/atom
Volume: 65.1 Å³/cell
Energy relative to the elements, uncorrected: -1.28 eV/f.u.
DOS(E_F): 2.1 states/eV/f.u.

Cell: 4.801 4.801 4.801 Å, 129.02 129.02 74.99°
Sites, in units of the cell vectors:
Sc 0.000 0.000 0.000
Ta 0.500 0.500 0.000
Si 0.250 0.750 0.500
Si 0.750 0.250 0.500



5.
This record from the Alexandria database describes a relaxed structure of ScTa2Si. The functional is PBE.

Volume: 70.4 Å³/cell
Energy relative to the elements, uncorrected: -0.67 eV/f.u.
DOS(E_F): 3.4 states/eV/f.u.

Cell: 3.963 3.963 4.483 Å, 90.00 90.00 90.00°
Sites, in units of the cell vectors:
Sc 0.000 0.000 0.000
Ta 0.000 0.500 0.500
Ta 0.500 0.000 0.500
Si 0.500 0.500 0.000



6.
This record from the Alexandria database describes a relaxed structure of ScTa2Si. The functional is PBE.

Volume: 71.9 Å³/cell
Energy relative to the elements, uncorrected: 0.00 eV/f.u.
DOS(E_F): 4.0 states/eV/f.u.

Cell: 2.900 2.900 8.551 Å, 90.00 90.00 90.00°
Sites, in units of the cell vectors:
Sc 0.000 0.000 0.000
Ta 0.500 0.500 0.289
Ta 0.500 0.500 0.711
Si 0.000 0.000 0.500



7.
This record from the Alexandria database describes a relaxed structure of ScTa2Si. The functional is PBE.

Volume: 72.8 Å³/cell
Energy relative to the elements, uncorrected: -0.24 eV/f.u.
DOS(E_F): 4.1 states/eV/f.u.

Cell: 2.958 2.958 8.544 Å, 90.00 90.00 103.18°
Sites, in units of the cell vectors:
Sc 0.000 0.000 0.000
Ta 0.500 0.500 0.289
Ta 0.500 0.500 0.711
Si 0.000 0.000 0.500



8.
This record from the Alexandria database describes a relaxed structure of Sc2TaSi. The functional is PBE.

Volume: 78.2 Å³/cell
Energy relative to the elements, uncorrected: -0.85 eV/f.u.
DOS(E_F): 3.8 states/eV/f.u.

Cell: 3.423 3.423 6.669 Å, 90.00 90.00 90.00°
Sites, in units of the cell vectors:
Sc 0.000 0.000 0.000
Sc 0.500 0.500 0.323
Ta 0.500 0.500 0.739
Si 0.000 0.000 0.564